{
  "formula": "K2ZrSe",
  "functional": "meta-GGA SCAN",
  "state": "single point on PBEsol structure",
  "cell": [[3.826, 0.000, 0.000], [0.000, 5.579, 0.000], [0.000, -2.790, 5.511]],
  "species": ["Se", "K", "Zr", "K"],
  "frac_coords": [[0.500, 0.500, 0.000], [0.000, 0.500, 0.500], [0.500, 0.000, 0.000], [0.000, 0.000, 0.500]],
  "formation_energy_uncorrected_ev_per_atom": 0.03,
  "space_group": "Cmmm, No. 65",
  "n_ef_per_ev_fu": 1.58
}

---

{
  "formula": "BaCaIr2",
  "functional": "meta-GGA SCAN",
  "state": "single point on PBEsol structure",
  "cell": [[-0.112, -4.148, -0.476], [3.873, 0.166, -2.356], [2.359, -0.505, 3.842]],
  "species": ["Ir", "Ca", "Ba", "Ir"],
  "frac_coords": [[0.000, 0.500, 0.000], [0.500, 0.000, 0.000], [0.500, 0.500, 0.500], [0.000, 0.000, 0.500]],
  "polymorph_energy_ev_per_atom": 0.6955,
  "space_group": "P4/mmm, No. 123",
  "formation_energy_ev_per_atom": 0.312,
  "n_ef_per_ev_fu": 2.49
}

---

{
  "formula": "BaTcAu2",
  "functional": "meta-GGA SCAN",
  "state": "single point on PBEsol structure",
  "cell": [[3.175, 0.000, 0.000], [0.000, 3.706, 0.000], [0.000, 0.000, 7.401]],
  "species": ["Au", "Ba", "Au", "Tc"],
  "frac_coords": [[0.500, 0.500, 0.196], [0.000, 0.000, 0.500], [0.000, 0.000, 0.976], [0.500, 0.500, 0.828]],
  "space_group": "Pmm2, No. 25",
  "formation_energy_ev_per_atom": 0.363,
  "n_ef_per_ev_fu": 3.42
}

---

{
  "formula": "SbPdS2",
  "functional": "meta-GGA SCAN",
  "state": "single point on PBEsol structure",
  "cell": [[-2.367, 5.229, -0.018], [-2.115, -0.940, 5.252], [7.006, 0.021, -0.311]],
  "species": ["Pd", "S", "Sb", "Sb", "Pd", "S", "S", "S"],
  "frac_coords": [[0.750, 0.250, 0.500], [0.125, 0.169, 0.750], [0.250, 0.750, 0.500], [0.000, 0.000, 0.000], [0.500, 0.500, 0.000], [0.625, 0.581, 0.750], [0.419, 0.875, 0.250], [0.831, 0.375, 0.250]],
  "formation_energy_uncorrected_ev_per_atom": 0.02,
  "space_group": "I-42d, No. 122",
  "n_ef_per_ev_fu": 2.64
}

---

{
  "formula": "Rb2TlSb2",
  "functional": "meta-GGA SCAN",
  "state": "single point on PBEsol structure",
  "cell": [[5.781, 0.000, 0.000], [0.000, 8.087, 0.000], [0.000, 0.000, 8.087]],
  "species": ["Sb", "Rb", "Rb", "Rb", "Tl", "Sb", "Tl", "Sb", "Sb", "Rb"],
  "frac_coords": [[0.000, 0.375, 0.875], [0.500, 0.672, 0.828], [0.500, 0.828, 0.328], [0.500, 0.172, 0.672], [0.000, 0.500, 0.500], [0.000, 0.125, 0.375], [0.000, 0.000, 0.000], [0.000, 0.875, 0.625], [0.000, 0.625, 0.125], [0.500, 0.328, 0.172]],
  "formation_energy_uncorrected_ev_per_atom": -0.34,
  "space_group": "P4/mbm, No. 127",
  "n_ef_per_ev_fu": 1.74
}

---

{
  "formula": "NaBiOs2Cl",
  "functional": "meta-GGA SCAN",
  "state": "single point on PBEsol structure",
  "cell": [[4.997, 0.000, 0.000], [0.000, 4.997, 0.000], [0.000, 0.000, 6.237]],
  "species": ["Cl", "Os", "Os", "Na", "Bi"],
  "frac_coords": [[0.500, 0.500, 0.500], [0.000, 0.500, 0.000], [0.500, 0.000, 0.000], [0.000, 0.000, 0.500], [0.000, 0.000, 0.000]],
  "formation_energy_uncorrected_ev_per_atom": 1.79,
  "space_group": "P4/mmm, No. 123",
  "n_ef_per_ev_fu": 3.79
}

---

{
  "formula": "CaOsBr",
  "functional": "meta-GGA SCAN",
  "state": "single point on PBEsol structure",
  "cell": [[-0.910, -2.403, 2.180], [-2.500, -1.889, -3.126], [4.239, -1.188, 0.461]],
  "species": ["Br", "Ca", "Os"],
  "frac_coords": [[0.500, 0.000, 0.000], [0.000, 0.333, 0.667], [0.500, 0.667, 0.333]],
  "polymorph_energy_ev_per_atom": 0.0000,
  "formation_energy_uncorrected_ev_per_atom": 0.40,
  "space_group": "P-6m2, No. 187",
  "n_ef_per_ev_fu": 2.27
}

---

{
  "formula": "YMn2NiOs",
  "functional": "meta-GGA SCAN",
  "state": "single point on PBEsol structure",
  "cell": [[-0.640, 0.248, -4.277], [3.990, -1.539, -0.687], [-1.718, -4.453, -0.001]],
  "species": ["Mn", "Os", "Y", "Mn", "Ni"],
  "frac_coords": [[0.000, 0.500, 0.000], [0.500, 0.500, 0.500], [0.000, 0.000, 0.500], [0.500, 0.000, 0.000], [0.000, 0.000, 0.000]],
  "space_group": "P4/mmm, No. 123",
  "formation_energy_ev_per_atom": 0.662,
  "n_ef_per_ev_fu": 3.40
}

---

{
  "formula": "MnAl2Au",
  "functional": "meta-GGA SCAN",
  "state": "single point on PBEsol structure",
  "cell": [[2.849, 0.000, 0.000], [1.425, 2.468, 0.000], [1.425, 0.823, 8.634]],
  "species": ["Mn", "Au", "Al", "Al"],
  "frac_coords": [[0.253, 0.253, 0.242], [0.501, 0.501, 0.497], [0.995, 0.995, 0.014], [0.751, 0.751, 0.747]],
  "space_group": "R3m, No. 160",
  "formation_energy_ev_per_atom": -0.211,
  "n_ef_per_ev_fu": 2.41
}

---

{
  "formula": "AlRuN2F",
  "functional": "meta-GGA SCAN",
  "state": "single point on PBEsol structure",
  "cell": [[-2.245, -2.631, 1.608], [-0.904, -1.339, -3.455], [3.157, -2.587, 0.176]],
  "species": ["Al", "Ru", "N", "N", "F"],
  "frac_coords": [[0.500, 0.500, 0.500], [0.000, 0.000, 0.000], [0.000, 0.500, 0.000], [0.500, 0.000, 0.000], [0.000, 0.000, 0.500]],
  "formation_energy_uncorrected_ev_per_atom": 0.26,
  "space_group": "P4/mmm, No. 123",
  "n_ef_per_ev_fu": 2.47
}

---

{
  "formula": "CuHgW",
  "functional": "meta-GGA SCAN",
  "state": "single point on PBEsol structure",
  "cell": [[-0.104, -1.067, 2.578], [4.283, -0.994, -0.238], [-1.268, 3.914, 1.569]],
  "species": ["Hg", "W", "Cu"],
  "frac_coords": [[0.833, 0.333, 0.667], [0.333, 0.667, 0.333], [0.834, 0.000, 0.000]],
  "space_group": "P-6m2, No. 187",
  "formation_energy_ev_per_atom": 0.875,
  "n_ef_per_ev_fu": 2.63
}

---

{
  "formula": "CaTaNbPb2",
  "functional": "meta-GGA SCAN",
  "state": "single point on PBEsol structure",
  "cell": [[-1.004, 4.355, 0.915], [-0.609, -1.224, 5.159], [5.171, 1.013, 0.851]],
  "species": ["Pb", "Pb", "Nb", "Ca", "Ta"],
  "frac_coords": [[0.000, 0.000, 0.500], [0.000, 0.500, 0.000], [0.500, 0.000, 0.000], [0.000, 0.000, 0.000], [0.500, 0.500, 0.500]],
  "space_group": "P4/mmm, No. 123",
  "formation_energy_ev_per_atom": 2.131,
  "n_ef_per_ev_fu": 4.49
}